First-principles (GGA-PBE) data for a geometry-optimized PaAl2SiNi4 structure, as listed in Alexandria via LeMat-Bulk.

Structure (POSCAR):
```
PaAl2SiNi4
1.0
4.006 0.000 0.000
2.003 3.469 0.000
2.003 1.156 8.138
Ni Pa Al Si
4 1 2 1
direct
0.402 0.402 0.794
0.864 0.864 0.407
0.598 0.598 0.206
0.136 0.136 0.593
0.000 0.000 0.000
0.760 0.760 0.719
0.240 0.240 0.281
0.500 0.500 0.500
```

Output
Final energy: -6.212 eV/atom
DOS at the Fermi energy: 0.83 states/eV/atom

First-principles (GGA-PBE) data for a geometry-optimized PaAlSi2Ni5 structure, as listed in Alexandria via LeMat-Bulk.

Structure (POSCAR):
```
PaAlSi2Ni5
1.0
-0.261 3.683 0.494
-1.404 0.361 -3.432
-9.206 -1.142 3.646
Pa Si Ni Al
1 2 5 1
direct
0.000 0.000 0.500
0.500 0.500 0.280
0.500 0.500 0.720
0.000 0.500 0.153
0.500 0.000 0.847
0.500 0.000 0.153
0.500 0.500 0.500
0.000 0.500 0.847
0.000 0.000 0.000
```

Output
Final energy: -6.160 eV/atom
DOS at the Fermi energy: 0.96 states/eV/atom

First-principles (GGA-PBE) data for a geometry-optimized Pa2AlSi4Ni3 structure, as listed in Alexandria via LeMat-Bulk.

Structure (POSCAR):
```
Pa2AlSi4Ni3
1.0
-3.943 -0.772 -0.085
0.708 -3.754 1.247
-0.764 2.897 9.150
Al Pa Si Ni
1 2 4 3
direct
0.500 0.500 0.500
0.500 0.000 0.243
0.000 0.500 0.757
0.000 0.500 0.353
0.500 0.500 0.000
0.000 0.000 0.000
0.500 0.000 0.647
0.500 0.000 0.882
0.000 0.500 0.118
0.000 0.000 0.500
```

Output
Final energy: -6.866 eV/atom
DOS at the Fermi energy: 0.65 states/eV/atom

First-principles (GGA-PBE) data for a geometry-optimized PaAl2SiNi2 structure, as listed in Alexandria via LeMat-Bulk.

Structure (POSCAR):
```
PaAl2SiNi2
1.0
-2.886 3.077 0.713
-2.469 -1.596 -3.108
-2.530 -3.223 3.665
Al Si Ni Pa
2 1 2 1
direct
0.500 0.500 0.741
0.500 0.500 0.259
0.000 0.000 0.000
0.000 0.500 0.000
0.500 0.000 0.000
0.000 0.000 0.500
```

Output
Final energy: -5.960 eV/atom
DOS at the Fermi energy: 0.73 states/eV/atom

First-principles (GGA-PBE) data for a geometry-optimized Pa2AlSi3Ni4 structure, as listed in Alexandria via LeMat-Bulk.

Structure (POSCAR):
```
Pa2AlSi3Ni4
1.0
-0.973 3.832 0.519
-3.324 -1.102 1.907
4.750 0.078 8.323
Al Si Pa Ni
1 3 2 4
direct
0.500 0.500 0.500
0.000 0.000 0.500
0.000 0.500 0.126
0.500 0.000 0.874
0.000 0.500 0.758
0.500 0.000 0.242
0.000 0.000 0.000
0.500 0.500 0.000
0.500 0.000 0.636
0.000 0.500 0.364
```

Output
Final energy: -6.974 eV/atom
DOS at the Fermi energy: 0.59 states/eV/atom

First-principles (GGA-PBE) data for a geometry-optimized AlNi2Pb structure, as listed in Alexandria via LeMat-Bulk.

Structure (POSCAR):
```
AlNi2Pb
1.0
-1.907 -1.371 1.981
-1.784 -0.894 -2.336
3.456 -5.552 -0.515
Al Pb Ni
1 1 2
direct
0.500 0.500 0.750
0.500 0.500 0.250
0.000 0.000 0.556
0.000 0.000 0.944
```

Output
Formation energy: -115 meV/atom
DOS at the Fermi energy: 0.21 states/eV/atom
Distance to the lowest polymorph of the same formula: 2 meV/atom

Number 1: size of the total moment 0.00 μB/f.u.. Number 2: size of the total moment 0.00 μB/f.u.. Number 3: size of the total moment 0.00 μB/f.u.. Number 4: size of the total moment 1.18 μB/f.u.. Number 5: size of the total moment 0.00 μB/f.u.. Number 6: size of the total moment 0.00 μB/f.u..